Crystalline DySc2ReO8 at its relaxed geometry. Source: Alexandria via LeMat-Bulk, functional PBE-GGA.

Computed properties:
- theoretical density (Mg/m³) = 6.098
- SG = Cmmm
- uncorrected formation energy (eV per atom) = -2.7662
- total DFT energy (no corrections) (eV per cell) = -102.6
- D(E_F) (states/eV/atom) = 0.00

POSCAR file:
```
DySc2ReO8
1.0
3.4432 -3.4449 0.0000
3.4432 3.4449 0.0000
0.0000 0.0000 6.5043
Dy Sc Re O
1 2 1 8
Cartesian
0.0000 0.0000 0.0000
3.4432 0.0000 1.5730
3.4432 0.0000 4.9314
0.0000 0.0000 3.2522
1.3166 0.0000 1.8824
1.3166 0.0000 4.6220
3.4432 1.5349 3.2522
3.4432 1.2658 0.0000
3.4432 -1.2658 0.0000
3.4432 -1.5349 3.2522
5.5698 0.0000 1.8824
5.5698 0.0000 4.6220
```